The following is a PBE-GGA calculation of a relaxed structure of Hf2AsW, from the Alexandria database.

Cell lengths 7.484, 7.484, 6.006 Å; angles 51.46, 51.46, 90.00 degrees
Fractional positions:
W 0.750 0.250 0.500
As 0.500 0.500 0.000
W 0.000 0.000 0.000
Hf 0.139 0.625 0.250
Hf 0.875 0.861 0.750
As 0.250 0.750 0.500
Hf 0.375 0.389 0.750
Hf 0.611 0.125 0.250

Values from the calculation:
V = 159.1 Å³ per cell
Formation energy from the elements = 8.9 kcal/mol of atoms